1.
# UMn2Ni, relaxed, DFT PBE-GGA
data_UMn2Ni
_symmetry_space_group_name_H-M 'P 4/m m m'
_symmetry_Int_Tables_number 123
_symmetry_space_group_name_Hall '-P 4 2'
_cell_length_a 3.872
_cell_length_b 3.872
_cell_length_c 3.561
_cell_angle_alpha 90.00
_cell_angle_beta 90.00
_cell_angle_gamma 90.00
loop_
_atom_site_label
_atom_site_type_symbol
_atom_site_fract_x
_atom_site_fract_y
_atom_site_fract_z
U1 U 0.000 0.000 0.000
Mn1 Mn 0.000 0.500 0.500
Ni1 Ni 0.500 0.500 0.000
# Size of the total moment (μB per formula unit): 0.0
# E (eV/atom): -8.88
# ΔE_f (eV/atom): -0.0274

2.
# LaBeSbP2, relaxed, DFT PBE-GGA
data_LaBeSbP2
_symmetry_space_group_name_H-M 'P 4/m m m'
_symmetry_Int_Tables_number 123
_symmetry_space_group_name_Hall '-P 4 2'
_cell_length_a 5.050
_cell_length_b 5.050
_cell_length_c 6.029
_cell_angle_alpha 90.00
_cell_angle_beta 90.00
_cell_angle_gamma 90.00
loop_
_atom_site_label
_atom_site_type_symbol
_atom_site_fract_x
_atom_site_fract_y
_atom_site_fract_z
La1 La 0.000 0.000 0.000
Be1 Be 0.500 0.500 0.000
Sb1 Sb 0.000 0.000 0.500
P1 P 0.000 0.500 0.500
# Size of the total moment (μB per formula unit): 0.0
# E (eV/atom): -3.74

3.
# PrThCuRh, relaxed, DFT PBE-GGA
data_PrThCuRh
_symmetry_space_group_name_H-M 'F -4 3 m'
_symmetry_Int_Tables_number 216
_symmetry_space_group_name_Hall 'F -4 2 3'
_cell_length_a 7.169
_cell_length_b 7.169
_cell_length_c 7.169
_cell_angle_alpha 90.00
_cell_angle_beta 90.00
_cell_angle_gamma 90.00
loop_
_atom_site_label
_atom_site_type_symbol
_atom_site_fract_x
_atom_site_fract_y
_atom_site_fract_z
Pr1 Pr 0.000 0.000 0.000
Th1 Th 0.000 0.000 0.500
Cu1 Cu 0.250 0.250 0.250
Rh1 Rh 0.250 0.250 0.750
# Size of the total moment (μB per formula unit): 0.0
# E (eV/atom): -6.29
# ΔE_f (eV/atom): -0.3778

4.
# TiTeH3, relaxed, DFT PBE-GGA
data_TiTeH3
_symmetry_space_group_name_H-M 'P m -3 m'
_symmetry_Int_Tables_number 221
_symmetry_space_group_name_Hall '-P 4 2 3'
_cell_length_a 3.729
_cell_length_b 3.729
_cell_length_c 3.729
_cell_angle_alpha 90.00
_cell_angle_beta 90.00
_cell_angle_gamma 90.00
loop_
_atom_site_label
_atom_site_type_symbol
_atom_site_fract_x
_atom_site_fract_y
_atom_site_fract_z
Ti1 Ti 0.000 0.000 0.000
Te1 Te 0.500 0.500 0.500
H1 H 0.000 0.000 0.500
# Size of the total moment (μB per formula unit): 0.0
# E (eV/atom): -4.08
# Energy above the most stable polymorph in this dataset (meV per atom): 0

5.
# AlAu2Se, relaxed, DFT PBE-GGA
data_AlAu2Se
_symmetry_space_group_name_H-M 'I -4 m 2'
_symmetry_Int_Tables_number 119
_symmetry_space_group_name_Hall 'I -4 -2'
_cell_length_a 4.187
_cell_length_b 4.187
_cell_length_c 8.451
_cell_angle_alpha 90.00
_cell_angle_beta 90.00
_cell_angle_gamma 90.00
loop_
_atom_site_label
_atom_site_type_symbol
_atom_site_fract_x
_atom_site_fract_y
_atom_site_fract_z
Al1 Al 0.000 0.000 0.000
Au1 Au 0.000 0.000 0.500
Au2 Au 0.000 0.500 0.750
Se1 Se 0.000 0.500 0.250
# Size of the total moment (μB per formula unit): 0.0
# E (eV/atom): -3.34

6.
# AgIrRu, relaxed, DFT PBE-GGA
data_AgIrRu
_symmetry_space_group_name_H-M 'F -4 3 m'
_symmetry_Int_Tables_number 216
_symmetry_space_group_name_Hall 'F -4 2 3'
_cell_length_a 6.013
_cell_length_b 6.013
_cell_length_c 6.013
_cell_angle_alpha 90.00
_cell_angle_beta 90.00
_cell_angle_gamma 90.00
loop_
_atom_site_label
_atom_site_type_symbol
_atom_site_fract_x
_atom_site_fract_y
_atom_site_fract_z
Ag1 Ag 0.000 0.000 0.000
Ir1 Ir 0.250 0.250 0.250
Ru1 Ru 0.000 0.000 0.500
# Size of the total moment (μB per formula unit): 0.0
# E (eV/atom): -6.17
# Energy above the most stable polymorph in this dataset (meV per atom): 581
# ΔE_f (eV/atom): 0.8259